1.
BaCdAg2Pb | PBE | optimized geometry

The structure in POSCAR format:
```
BaCdAg2Pb
1.0
-2.5224 2.5389 5.6104
2.5224 -2.5389 5.6104
2.5224 2.5389 -5.6104
Ba Cd Ag Pb
1 1 2 1
Direct
0.0000 0.0000 0.0000
0.2453 0.7453 0.5000
0.6405 0.6405 0.0000
0.7587 0.2587 0.5000
0.3869 0.3869 0.0000
```

* calculated volume: 28.74 Å³ per atom
* energy of formation from the pure elements: -0.23 eV/atom
* theoretical density: 7.772 g/cm3
* space-group type: No. 44

***

2.
BaCd4Ag2Pd | PBE | optimized geometry

The structure in POSCAR format:
```
BaCd4Ag2Pd
1.0
2.3807 1.3745 9.9848
-2.3807 1.3745 9.9848
0.0000 -2.7490 9.9848
Ba Cd Ag Pd
1 4 2 1
Direct
0.0000 0.0000 0.0000
0.1359 0.1359 0.1359
0.4078 0.4078 0.4078
0.5922 0.5922 0.5922
0.8641 0.8641 0.8641
0.2350 0.2350 0.2350
0.7650 0.7650 0.7650
0.5000 0.5000 0.5000
```

* calculated volume: 24.50 Å³ per atom
* energy of formation from the pure elements: -0.20 eV/atom
* theoretical density: 7.701 g/cm3
* space-group type: No. 166

***

3.
Ba2CdAg2Pd5 | PBE | optimized geometry

The structure in POSCAR format:
```
Ba2CdAg2Pd5
1.0
10.4168 0.0000 0.0000
0.0000 10.4168 0.0000
0.0000 0.0000 4.0106
Ba Cd Ag Pd
4 2 4 10
Direct
0.1757 0.3243 0.0000
0.3243 0.8243 0.0000
0.6757 0.1757 0.0000
0.8243 0.6757 0.0000
0.0000 0.0000 0.0000
0.5000 0.5000 0.0000
0.1246 0.6246 0.0000
0.3754 0.1246 0.0000
0.6246 0.8754 0.0000
0.8754 0.3754 0.0000
0.0000 0.5000 0.5000
0.0539 0.8046 0.5000
0.1954 0.0539 0.5000
0.3046 0.5539 0.5000
0.4461 0.3046 0.5000
0.5000 0.0000 0.5000
0.5539 0.6954 0.5000
0.6954 0.4461 0.5000
0.8046 0.9461 0.5000
0.9461 0.1954 0.5000
```

* calculated volume: 21.76 Å³ per atom
* energy of formation from the pure elements: -0.30 eV/atom
* theoretical density: 8.661 g/cm3
* space-group type: No. 127

***

4.
Ba2CdAg6Pd | PBE | optimized geometry

The structure in POSCAR format:
```
Ba2CdAg6Pd
1.0
0.0000 5.2570 5.2570
5.2570 0.0000 5.2570
5.2570 5.2570 0.0000
Ba Cd Ag Pd
2 1 6 1
Direct
0.2500 0.2500 0.2500
0.7500 0.7500 0.7500
0.0000 0.0000 0.0000
0.2537 0.2537 0.7463
0.2537 0.7463 0.2537
0.2537 0.7463 0.7463
0.7463 0.2537 0.2537
0.7463 0.2537 0.7463
0.7463 0.7463 0.2537
0.5000 0.5000 0.5000
```

* calculated volume: 29.06 Å³ per atom
* energy of formation from the pure elements: -0.01 eV/atom
* theoretical density: 6.519 g/cm3
* space-group type: No. 225

***

Which of these has the highest energy of formation from the pure elements?
Ba2CdAg6Pd